1.
Computed, not measured: crystalline PmTm5In2 at its relaxed geometry at the PBE-GGA level of DFT.

DFT total energy in eV per atom: -4.207
Total magnetic moment in μB per cell: 0.0
Crystal system: orthorhombic
ρ in g cm⁻³: 8.5

Unit cell a=5.1577 b=11.6382 c=15.7942 alpha=90.00 beta=90.00 gamma=90.00
Space group Cmcm (No. 63)
Inequivalent atoms, fractional coordinates:
1 Pm 0.0000 0.2392 0.2500 x4
2 Tm 0.0000 0.0400 0.7500 x4
3 Tm 0.0000 0.1396 0.0336 x8
4 Tm 0.0000 0.4567 0.1023 x8
5 In 0.0000 0.2729 0.6359 x8

2.
Computed, not measured: crystalline Cs2CeTe6 at its relaxed geometry at the PBE-GGA level of DFT.

DFT total energy in eV per atom: -3.696
Total magnetic moment in μB per cell: 0.9
Crystal system: monoclinic
Formation energy (no corrections) in meV per atom: -752
ρ in g cm⁻³: 4.9

Unit cell a=14.2734 b=10.0027 c=5.5820 alpha=90.00 beta=93.79 gamma=90.00
Space group C2/m (No. 12)
Inequivalent atoms, fractional coordinates:
1 Cs 0.1667 0.0000 0.3970 x4
2 Ce 0.0000 0.5000 0.0000 x2
3 Te 0.0000 0.3204 0.5000 x4
4 Te 0.1517 0.2703 0.8874 x8

3.
Computed, not measured: crystalline PaGa3O7 at its relaxed geometry at the PBE-GGA level of DFT.

DFT total energy in eV per atom: -7.029
Total magnetic moment in μB per cell: 0.0
Crystal system: trigonal
Formation energy (no corrections) in meV per atom: -2185
ρ in g cm⁻³: 6.6

Unit cell a=8.6277 b=8.6277 c=6.4283 alpha=90.00 beta=90.00 gamma=120.00
Space group R3m (No. 160, hexagonal axes)
Inequivalent atoms, fractional coordinates:
1 Pa 0.0000 0.0000 0.0000 x3
2 Ga 0.0961 0.5481 0.1822 x9
3 O 0.0000 0.0000 0.3600 x3
4 O 0.2012 0.4025 0.7438 x9
5 O 0.2131 0.4262 0.3113 x9

4.
Computed, not measured: crystalline La2Nd15Dy2 at its relaxed geometry at the PBE-GGA level of DFT.

DFT total energy in eV per atom: -4.533
Total magnetic moment in μB per cell: 0.0
Crystal system: trigonal
ρ in g cm⁻³: 6.6

Unit cell a=11.4976 b=11.4976 c=18.1363 alpha=90.00 beta=90.00 gamma=120.00
Space group R-3m (No. 166, hexagonal axes)
Inequivalent atoms, fractional coordinates:
1 La 0.0000 0.0000 0.1774 x6
2 Nd 0.0000 0.2940 0.5000 x18
3 Nd 0.0000 0.5000 0.0000 x9
4 Nd 0.0147 0.5074 0.6365 x18
5 Dy 0.0000 0.0000 0.4069 x6